(1)
Ce2PrN | PBE | optimized geometry

Calculated values
The calculation puts the density of states at the Fermi level at 7.923 states/eV/cell. The calculation puts the volume at 22.54 Å³/atom. The value obtained for the formation energy without anion corrections is -6.4 kcal/mol of atoms. For the calculated density, the calculation gives 8.01 g/cm³.

a = 3.1483 Å, b = 3.1483 Å, c = 9.0962 Å
α = 90.00°, β = 90.00°, γ = 90.00°
Closest atoms and distances in Å follow each position.
Space group P4/mmm (No. 123)
One atom of each set of equivalent atoms:
Ce: 0.0000 0.0000 0.1554 [2 per cell]  4 N 2.64, 1 Ce 2.83
Pr: 0.5000 0.5000 0.5000 [1 per cell]  4 Pr 3.15
N: 0.5000 0.5000 0.0000 [1 per cell]  8 Ce 2.64

(2)
CePrPuN3 | PBE | optimized geometry

Calculated values
The calculation puts the density of states at the Fermi level at 9.711 states/eV/cell. The calculation puts the volume at 18.90 Å³/atom. The value obtained for the formation energy without anion corrections is -21.9 kcal/mol of atoms. For the calculated density, the calculation gives 8.31 g/cm³.

a = 7.2889 Å, b = 3.7011 Å, c = 8.4629 Å
α = 90.00°, β = 96.70°, γ = 90.00°
Closest atoms and distances in Å follow each position.
Space group P2_1/m (No. 11)
One atom of each set of equivalent atoms:
Ce: 0.1327 0.2500 0.1580 [2 per cell]  4 N 2.28-2.51
Pr: 0.3433 0.7500 0.8603 [2 per cell]  5 N 2.48-2.67
Pu: 0.4470 0.7500 0.4230 [2 per cell]  4 N 2.22-2.27, 2 Pu 2.34
N: 0.0999 0.2500 0.8867 [2 per cell]  3 Ce 2.28-2.51
N: 0.2788 0.2500 0.4194 [2 per cell]  3 Pu 2.22-2.27, 1 Ce 2.34
N: 0.3953 0.7500 0.1546 [2 per cell]  1 Pu 2.26, 1 Pr 2.48

(3)
Ce2PrReN5 | PBE | optimized geometry

Calculated values
The calculation puts the density of states at the Fermi level at 34.335 states/eV/cell. The calculation puts the volume at 14.45 Å³/atom. The value obtained for the formation energy without anion corrections is -24.5 kcal/mol of atoms. For the calculated density, the calculation gives 8.65 g/cm³.

a = 6.6994 Å, b = 6.6994 Å, c = 11.5899 Å
α = 90.00°, β = 90.00°, γ = 90.00°
Closest atoms and distances in Å follow each position.
Space group I4/mcm (No. 140)
One atom of each set of equivalent atoms:
Ce: 0.1749 0.3251 0.0000 [8 per cell]  4 N 2.35-2.47
Pr: 0.0000 0.0000 0.2500 [4 per cell]  10 N 2.84-2.90
Re: 0.0000 0.5000 0.2500 [4 per cell]  4 N 1.88
N: 0.0000 0.0000 0.0000 [4 per cell]  4 Ce 2.47
N: 0.1499 0.3501 0.3569 [16 per cell]  1 Re 1.88

(4)
CePr2ReN4 | PBE | optimized geometry

Calculated values
The calculation puts the density of states at the Fermi level at 24.251 states/eV/cell. The calculation puts the volume at 16.26 Å³/atom. The value obtained for the formation energy without anion corrections is -19.2 kcal/mol of atoms. For the calculated density, the calculation gives 8.48 g/cm³.

a = 3.5218 Å, b = 12.0389 Å, c = 12.2712 Å
α = 90.00°, β = 90.00°, γ = 90.00°
Closest atoms and distances in Å follow each position.
Space group Cmcm (No. 63)
One atom of each set of equivalent atoms:
Ce: 0.0000 0.1187 0.2500 [4 per cell]  4 N 2.56
Pr: 0.0000 0.3675 0.0410 [8 per cell]  4 N 2.43-2.67
Re: 0.0000 0.1489 0.7500 [4 per cell]  4 N 2.00-2.01
N: 0.0000 0.0000 0.0000 [4 per cell]  4 Pr 2.43
N: 0.0000 0.2737 0.6406 [8 per cell]  1 Re 2.01
N: 0.0000 0.4292 0.2500 [4 per cell]  2 Re 2.00

(5)
CePrSN | PBE | optimized geometry

Calculated values
The calculation puts the density of states at the Fermi level at 11.101 states/eV/cell. The calculation puts the volume at 20.09 Å³/atom. The value obtained for the formation energy without anion corrections is -39.5 kcal/mol of atoms. For the calculated density, the calculation gives 6.76 g/cm³.

a = 3.7825 Å, b = 3.7825 Å, c = 19.4536 Å
α = 90.00°, β = 90.00°, γ = 120.00°
Closest atoms and distances in Å follow each position.
Space group R3m (No. 160, hexagonal axes)
One atom of each set of equivalent atoms:
Ce: 0.0000 0.0000 0.0000 [3 per cell]  3 N 2.51
Pr: 0.0000 0.0000 0.4752 [3 per cell]  3 N 2.67, 3 S 2.90
S: 0.0000 0.0000 0.2396 [3 per cell]  3 Ce 2.85, 3 Pr 2.90
N: 0.0000 0.0000 0.7299 [3 per cell]  3 Ce 2.51, 3 Pr 2.67

(6)
CePr2S2N2 | PBE | optimized geometry

Calculated values
The calculation puts the density of states at the Fermi level at 0.225 states/eV/cell. The calculation puts the volume at 20.77 Å³/atom. The value obtained for the formation energy without anion corrections is -36.0 kcal/mol of atoms. For the calculated density, the calculation gives 5.87 g/cm³.

a = 4.4226 Å, b = 4.4226 Å, c = 14.8642 Å
α = 90.00°, β = 90.00°, γ = 90.00°
Closest atoms and distances in Å follow each position.
Space group I4/mmm (No. 139)
One atom of each set of equivalent atoms:
Ce: 0.0000 0.0000 0.0000 [2 per cell]  4 N 2.21
Pr: 0.0000 0.0000 0.3783 [4 per cell]  4 N 2.86, 1 S 2.86
S: 0.0000 0.0000 0.1856 [4 per cell]  1 Ce 2.76, 1 Pr 2.86
N: 0.0000 0.5000 0.0000 [4 per cell]  2 Ce 2.21

(7)
Ce2Pr4Sb3N2 | PBE | optimized geometry

Calculated values
The calculation puts the density of states at the Fermi level at 31.793 states/eV/cell. The calculation puts the volume at 28.00 Å³/atom. The value obtained for the formation energy without anion corrections is -25.5 kcal/mol of atoms. For the calculated density, the calculation gives 6.67 g/cm³.

a = 4.8650 Å, b = 4.8650 Å, c = 26.0253 Å
α = 90.00°, β = 90.00°, γ = 90.00°
Closest atoms and distances in Å follow each position.
Space group I4/mmm (No. 139)
One atom of each set of equivalent atoms:
Ce: 0.0000 0.0000 0.1925 [4 per cell]  1 N 2.17
Pr: 0.0000 0.5000 0.0825 [8 per cell]  2 N 2.53
Sb: 0.0000 0.0000 0.3219 [4 per cell]  5 Ce 3.37-3.46, 4 Pr 3.48
Sb: 0.0000 0.0000 0.5000 [2 per cell]  8 Pr 3.24
N: 0.0000 0.0000 0.1091 [4 per cell]  1 Ce 2.17

(8)
Ce2PrSbN2 | PBE | optimized geometry

Calculated values
The calculation puts the density of states at the Fermi level at 9.862 states/eV/cell. The calculation puts the volume at 23.56 Å³/atom. The value obtained for the formation energy without anion corrections is -18.7 kcal/mol of atoms. For the calculated density, the calculation gives 6.71 g/cm³.

a = 4.6101 Å, b = 4.6101 Å, c = 6.6524 Å
α = 90.00°, β = 90.00°, γ = 90.00°
Closest atoms and distances in Å follow each position.
Space group P4/mmm (No. 123)
One atom of each set of equivalent atoms:
Ce: 0.0000 0.0000 0.2276 [2 per cell]  4 N 2.76, 1 Ce 3.03
Pr: 0.5000 0.5000 0.0000 [1 per cell]  4 N 2.31
Sb: 0.5000 0.5000 0.5000 [1 per cell]  2 Pr 3.33
N: 0.0000 0.5000 0.0000 [2 per cell]  2 Pr 2.31

(9)
CePrSbN | PBE | optimized geometry

Calculated values
The calculation puts the density of states at the Fermi level at 17.584 states/eV/cell. The calculation puts the volume at 25.97 Å³/atom. The value obtained for the formation energy without anion corrections is -20.3 kcal/mol of atoms. For the calculated density, the calculation gives 6.66 g/cm³.

a = 4.0032 Å, b = 4.0032 Å, c = 44.9116 Å
α = 90.00°, β = 90.00°, γ = 120.00°
Closest atoms and distances in Å follow each position.
Space group R-3m (No. 166, hexagonal axes)
One atom of each set of equivalent atoms:
Ce: 0.0000 0.0000 0.0000 [3 per cell]  6 Sb 3.08
Ce: 0.0000 0.0000 0.5000 [3 per cell]  6 N 2.53
Pr: 0.0000 0.0000 0.2398 [6 per cell]  1 N 2.26
Sb: 0.0000 0.0000 0.3787 [6 per cell]  3 Ce 3.08, 3 Pr 3.16
N: 0.0000 0.0000 0.1895 [6 per cell]  1 Pr 2.26, 3 Ce 2.53

(10)
Ce4Pr2Sb3N2 | PBE | optimized geometry

Calculated values
The calculation puts the density of states at the Fermi level at 43.190 states/eV/cell. The calculation puts the volume at 26.65 Å³/atom. The value obtained for the formation energy without anion corrections is -26.0 kcal/mol of atoms. For the calculated density, the calculation gives 7.00 g/cm³.

a = 4.7095 Å, b = 4.7095 Å, c = 26.4353 Å
α = 90.00°, β = 90.00°, γ = 90.00°
Closest atoms and distances in Å follow each position.
Space group I4/mmm (No. 139)
One atom of each set of equivalent atoms:
Ce: 0.0000 0.5000 0.0843 [8 per cell]  2 N 2.40
Pr: 0.0000 0.0000 0.1967 [4 per cell]  1 N 2.51
Sb: 0.0000 0.0000 0.3229 [4 per cell]  5 Pr 3.33-3.37, 4 Ce 3.40
Sb: 0.0000 0.0000 0.5000 [2 per cell]  8 Ce 3.24
N: 0.0000 0.0000 0.1016 [4 per cell]  4 Ce 2.40, 1 Pr 2.51

(11)
CePr2Se2N2 | PBE | optimized geometry

Calculated values
The calculation puts the volume at 21.87 Å³/atom. The value obtained for the formation energy without anion corrections is -35.0 kcal/mol of atoms. For the calculated density, the calculation gives 6.59 g/cm³.

a = 4.4437 Å, b = 4.4437 Å, c = 15.5065 Å
α = 90.00°, β = 90.00°, γ = 90.00°
Closest atoms and distances in Å follow each position.
Space group I4/mmm (No. 139)
One atom of each set of equivalent atoms:
Ce: 0.0000 0.0000 0.0000 [2 per cell]  4 N 2.22
Pr: 0.0000 0.0000 0.3835 [4 per cell]  4 N 2.86, 1 Se 3.06
Se: 0.0000 0.0000 0.1860 [4 per cell]  1 Ce 2.88, 1 Pr 3.06
N: 0.0000 0.5000 0.0000 [4 per cell]  2 Ce 2.22